No. 1
La2InSb3Pt4: optimized geometry, PBE.

Properties
Crystal system: tetragonal
Space-group type: No. 115
Formation energy from raw total energies (eV per atom): -0.902
Total magnetic moment (Bohr magnetons per cell): 0.0

Cell lengths 4.581, 4.581, 10.994 Å; angles 90.00, 90.00, 90.00 degrees
Fractional coordinates of all 10 atoms:
1 In 0.500 0.500 0.500
2 Pt 0.000 0.500 0.367
3 Pt 0.500 0.000 0.633
4 Pt 0.500 0.500 0.000
5 Pt 0.000 0.000 0.000
6 La 0.500 0.000 0.234
7 La 0.000 0.500 0.766
8 Sb 0.000 0.000 0.500
9 Sb 0.500 0.000 0.870
10 Sb 0.000 0.500 0.130



No. 2
Rb4AgI2: optimized geometry, PBE.

Properties
Crystal system: tetragonal
Space-group type: No. 139
Formation energy from raw total energies (eV per atom): -0.682
Total magnetic moment (Bohr magnetons per cell): 0.0

Cell lengths 6.668, 6.668, 10.619 Å; angles 108.30, 108.30, 90.00 degrees
Fractional coordinates of all 7 atoms:
1 I 0.383 0.383 0.766
2 I 0.617 0.617 0.234
3 Ag 0.000 0.000 0.000
4 Rb 0.806 0.806 0.611
5 Rb 0.194 0.194 0.389
6 Rb 0.000 0.500 0.000
7 Rb 0.500 0.000 0.000



No. 3
MnCo2P: optimized geometry, PBE.

Properties
Crystal system: tetragonal
Space-group type: No. 123
E_form (eV per formula unit): -0.90
Total magnetic moment (Bohr magnetons per cell): 2.8

Cell lengths 3.548, 3.547, 3.418 Å; angles 90.00, 90.00, 90.00 degrees
Each line ends with the local moment (μB).
Fractional coordinates of all 4 atoms:
1 Co 0.000 0.000 0.000  0.19
2 Co 0.500 0.500 0.000  0.19
3 P 0.000 0.500 0.500  -0.07
4 Mn 0.500 0.000 0.500  2.48



No. 4
Ac2B2Rh3: optimized geometry, PBE.

Properties
Crystal system: monoclinic
Space-group type: No. 12
E_form (eV per formula unit): -2.61
Total magnetic moment (Bohr magnetons per cell): 0.0

Cell lengths 4.103, 5.941, 6.461 Å; angles 103.29, 90.00, 110.20 degrees
Fractional coordinates of all 7 atoms:
1 Rh 0.500 0.000 0.000
2 Rh 0.671 0.342 0.403
3 Rh 0.329 0.658 0.597
4 B 0.832 0.664 0.655
5 B 0.168 0.336 0.345
6 Ac 0.897 0.793 0.212
7 Ac 0.103 0.207 0.788



No. 5
Cd8SnHg5: optimized geometry, PBE.

Properties
Crystal system: tetragonal
Space-group type: No. 82
E_form (eV per formula unit): 0.39
Total magnetic moment (Bohr magnetons per cell): 0.0

Cell lengths 7.668, 7.668, 7.668 Å; angles 109.10, 109.66, 109.66 degrees
Fractional coordinates of all 14 atoms:
1 Cd 0.751 0.049 0.126
2 Cd 0.415 0.884 0.634
3 Cd 0.250 0.366 0.781
4 Cd 0.750 0.531 0.116
5 Cd 0.922 0.874 0.625
6 Cd 0.078 0.703 0.951
7 Cd 0.585 0.219 0.469
8 Cd 0.249 0.375 0.297
9 Hg 0.373 0.127 0.009
10 Hg 0.000 0.500 0.500
11 Hg 0.882 0.247 0.873
12 Hg 0.627 0.635 0.753
13 Hg 0.118 0.991 0.365
14 Sn 0.500 0.750 0.250



No. 6
Pm2SmInN4: optimized geometry, PBE.

Properties
Crystal system: monoclinic
Space-group type: No. 10
Formation energy from raw total energies (eV per atom): -0.982
Total magnetic moment (Bohr magnetons per cell): 0.0

Cell lengths 3.554, 6.186, 6.176 Å; angles 111.05, 90.00, 90.00 degrees
Fractional coordinates of all 8 atoms:
1 N 0.500 0.756 0.757
2 N 0.000 0.260 0.743
3 N 0.000 0.740 0.257
4 N 0.500 0.244 0.243
5 Pm 0.000 0.500 0.500
6 Pm 0.500 0.000 0.500
7 In 0.000 0.000 0.000
8 Sm 0.500 0.500 0.000



No. 7
SrPr2Pd9: optimized geometry, PBE.

Properties
Crystal system: trigonal
Space-group type: No. 166
E_form (eV per formula unit): -7.56
Total magnetic moment (Bohr magnetons per cell): 0.0

Cell lengths 5.486, 5.486, 9.593 Å; angles 73.39, 73.39, 60.00 degrees
Fractional coordinates of all 12 atoms:
1 Pd 0.082 0.586 0.745
2 Pd 0.586 0.082 0.745
3 Pd 0.500 0.500 0.500
4 Pd 0.918 0.414 0.255
5 Pd 0.667 0.667 0.999
6 Pd 0.333 0.333 0.001
7 Pd 0.586 0.586 0.745
8 Pd 0.414 0.414 0.255
9 Pd 0.414 0.918 0.255
10 Pr 0.862 0.862 0.414
11 Pr 0.138 0.138 0.586
12 Sr 0.000 0.000 0.000



No. 8
ThNi4Rh: optimized geometry, PBE.

Properties
Crystal system: orthorhombic
Space-group type: No. 51
E_form (eV per formula unit): -1.10
Total magnetic moment (Bohr magnetons per cell): 0.0
Energy above the lowest structure with this stoichiometry (meV per atom): 157

Cell lengths 3.866, 6.540, 7.263 Å; angles 90.00, 90.00, 90.00 degrees
Fractional coordinates of all 12 atoms:
1 Ni 0.000 0.000 0.500
2 Ni 0.000 0.000 0.000
3 Ni 0.500 0.738 0.471
4 Ni 0.500 0.262 0.529
5 Ni 0.500 0.738 0.029
6 Ni 0.500 0.030 0.250
7 Ni 0.500 0.970 0.750
8 Ni 0.500 0.262 0.971
9 Rh 0.000 0.251 0.750
10 Rh 0.000 0.749 0.250
11 Th 0.000 0.356 0.250
12 Th 0.000 0.644 0.750



Number 1: total DFT energy (no corrections) -58.147 eV/cell, calculated density 11.07 g cm⁻³. Number 2: total DFT energy (no corrections) -14.593 eV/cell, calculated density 2.76 g cm⁻³. Number 3: total DFT energy (no corrections) -29.690 eV/cell, calculated density 7.86 g cm⁻³. Number 4: total DFT energy (no corrections) -46.237 eV/cell, calculated density 9.09 g cm⁻³. Number 5: total DFT energy (no corrections) -12.438 eV/cell, calculated density 9.67 g cm⁻³. Number 6: total DFT energy (no corrections) -58.117 eV/cell, calculated density 8.01 g cm⁻³. Number 7: total DFT energy (no corrections) -65.534 eV/cell, calculated density 9.34 g cm⁻³. Number 8: total DFT energy (no corrections) -78.001 eV/cell, calculated density 10.30 g cm⁻³.